The following is a PBE-GGA calculation of Sm4YTe2 after structural relaxation, from the Alexandria database.

- formation energy (no corrections) (eV/atom) = -0.556

Cell: 9.500 9.500 9.500 Å, 33.82 33.82 33.82°
Positions (direct):
Sm: 0.133 0.133 0.133
Sm: 0.267 0.267 0.267
Sm: 0.733 0.733 0.733
Sm: 0.867 0.867 0.867
Y: 0.500 0.500 0.500
Te: 0.385 0.385 0.385
Te: 0.615 0.615 0.615